1.
The following is a PBE calculation of crystalline Rb2RuBr7 at its relaxed geometry, from Alexandria via LeMat-Bulk.

Structure (extended XYZ):
```
10
Lattice="7.942 0.000 0.000 0.000 7.942 0.000 3.971 3.971 5.866" Properties=species:S:1:pos:R:3 pbc="T T T"
Ru 0.000 0.000 0.000
Br 3.971 3.971 0.000
Br 3.971 3.971 3.360
Br 7.942 7.942 2.506
Br 1.784 1.784 0.000
Br 6.158 6.158 0.000
Br 6.158 1.784 0.000
Br 1.784 6.158 0.000
Rb 7.942 3.971 2.933
Rb 3.971 7.942 2.933
```

Computed properties:
SG: I4/mmm, No. 139
Spin magnetization, μB/cell: 2.4
E, eV/cell: -30.34

---

2.
The following is a PBE calculation of crystalline Rb2RuBr at its relaxed geometry, from Alexandria via LeMat-Bulk.

Structure (extended XYZ):
```
4
Lattice="4.865 -3.612 -0.364 1.321 -3.781 4.561 -0.710 -5.986 -0.716" Properties=species:S:1:pos:R:3 pbc="T T T"
Ru 2.738 -6.689 1.741
Br 0.000 0.000 0.000
Rb 1.369 -3.344 0.870
Rb 4.107 -10.033 2.611
```

Computed properties:
SG: Fm-3m, No. 225
Spin magnetization, μB/cell: 3.0
E, eV/cell: -11.11

---

3.
The following is a PBE calculation of crystalline Rb2RuBr5 at its relaxed geometry, from Alexandria via LeMat-Bulk.

Structure (extended XYZ):
```
8
Lattice="7.831 0.000 0.000 0.000 7.831 0.000 -3.915 -3.915 4.841" Properties=species:S:1:pos:R:3 pbc="T T T"
Rb 0.000 3.916 2.501
Rb 3.916 0.000 2.501
Ru 3.916 3.916 4.701
Br 6.063 1.768 0.089
Br 1.768 1.767 0.089
Br 6.064 6.063 0.088
Br 1.768 6.063 0.088
Br 3.916 3.916 2.309
```

Computed properties:
E above lowest polymorph, kcal/mol of atoms: 0.545
SG: I4mm, No. 107
Spin magnetization, μB/cell: 1.0

---

Question: spin magnetization of number 2 (Rb2RuBr)?
Answer: 3.0 μB/cell